# Tb2ThAs3 | Alexandria via LeMat-Bulk | PBE-GGA | optimized geometry
data_Tb2ThAs3
_chemical_formula_sum 'Tb4 Th2 As6'
_cell_length_a 4.153
_cell_length_b 8.310
_cell_length_c 10.161
_cell_angle_alpha 108.08
_cell_angle_beta 90.00
_cell_angle_gamma 104.47
_symmetry_space_group_name_H-M 'P 1'
_symmetry_Int_Tables_number 1
_symmetry_space_group_name_Hall 'P 1'
loop_
_atom_site_label
_atom_site_type_symbol
_atom_site_fract_x
_atom_site_fract_y
_atom_site_fract_z
Tb1 Tb 0.831 0.663 0.666
Tb2 Tb 0.169 0.337 0.334
Tb3 Tb 0.330 0.660 0.164
Tb4 Tb 0.670 0.340 0.836
As1 As 0.305 0.610 0.860
As2 As 0.971 0.941 0.195
As3 As 0.695 0.390 0.140
As4 As 0.360 0.719 0.473
As5 As 0.640 0.281 0.527
As6 As 0.029 0.059 0.805
Th1 Th 0.500 0.000 0.000
Th2 Th 0.000 0.000 0.500
# DOS at the Fermi energy = 2.44 states/eV/f.u.
# E = -6.429 eV/atom

# TbTh3As4 | Alexandria via LeMat-Bulk | PBE-GGA | optimized geometry
data_TbTh3As4
_chemical_formula_sum 'Tb1 Th3 As4'
_cell_length_a 5.981
_cell_length_b 5.981
_cell_length_c 5.981
_cell_angle_alpha 90.00
_cell_angle_beta 90.00
_cell_angle_gamma 90.00
_symmetry_space_group_name_H-M 'P 1'
_symmetry_Int_Tables_number 1
_symmetry_space_group_name_Hall 'P 1'
loop_
_atom_site_label
_atom_site_type_symbol
_atom_site_fract_x
_atom_site_fract_y
_atom_site_fract_z
As1 As 0.000 0.000 0.500
As2 As 0.500 0.000 0.000
As3 As 0.500 0.500 0.500
As4 As 0.000 0.500 0.000
Th1 Th 0.500 0.000 0.500
Th2 Th 0.500 0.500 0.000
Th3 Th 0.000 0.500 0.500
Tb1 Tb 0.000 0.000 0.000
# DOS at the Fermi energy = 3.05 states/eV/f.u.
# E = -7.121 eV/atom